No. 1
CdTc2Te: relaxed, GGA-PBEsol.

Output
SG: P4/mmm (123)
Raw formation energy (eV per atom): 0.504
Theoretical density (Mg/m³): 10.972
E (eV per atom): -6.31

a = 4.527 Å, b = 4.527 Å, c = 3.221 Å
α = 90.00°, β = 90.00°, γ = 90.00°
Positions (direct):
Cd: 0.000 0.000 0.000
Tc: 0.000 0.500 0.500
Tc: 0.500 0.000 0.500
Te: 0.500 0.500 0.000

No. 2
TiZn2CdTc: relaxed, GGA-PBEsol.

Output
ΔH_f (0 K) (eV per formula unit): 8.3
SG: P4/mmm (123)
Theoretical density (Mg/m³): 5.976
E (eV per atom): -3.13

a = 4.655 Å, b = 4.655 Å, c = 4.989 Å
α = 90.00°, β = 90.00°, γ = 90.00°
Positions (direct):
Ti: 0.000 0.000 0.000
Zn: 0.000 0.500 0.000
Zn: 0.500 0.000 0.000
Cd: 0.000 0.000 0.500
Tc: 0.500 0.500 0.500

No. 3
TlCdTc3: relaxed, GGA-PBEsol.

Output
ΔH_f (0 K) (eV per formula unit): 12.4
SG: Pm-3m (221)
Theoretical density (Mg/m³): 9.051
E (eV per atom): -5.05

a = 4.821 Å, b = 4.821 Å, c = 4.821 Å
α = 90.00°, β = 90.00°, γ = 90.00°
Positions (direct):
Tl: 0.000 0.000 0.000
Cd: 0.500 0.500 0.500
Tc: 0.000 0.500 0.500
Tc: 0.500 0.000 0.500
Tc: 0.500 0.500 0.000

No. 4
TlCdTc2: relaxed, GGA-PBEsol.

Output
ΔH_f (0 K) (eV per formula unit): 2.7
SG: C2/m (12)
Theoretical density (Mg/m³): 12.363
E (eV per atom): -5.90

a = 4.941 Å, b = 4.941 Å, c = 5.079 Å
α = 101.16°, β = 101.16°, γ = 34.56°
Positions (direct):
Tl: 0.000 0.000 0.000
Cd: 0.500 0.500 0.500
Tc: 0.251 0.251 0.720
Tc: 0.749 0.749 0.280

No. 5
TlCdTc2: relaxed, GGA-PBEsol.

Output
ΔH_f (0 K) (eV per formula unit): 0.9
SG: P4mm (99)
Theoretical density (Mg/m³): 11.744
E (eV per atom): -6.36

a = 2.959 Å, b = 2.959 Å, c = 8.280 Å
α = 90.00°, β = 90.00°, γ = 90.00°
Positions (direct):
Tl: 0.000 0.000 0.000
Cd: 0.500 0.500 0.317
Tc: 0.000 0.000 0.566
Tc: 0.500 0.500 0.734

No. 6
TlCdTc2: relaxed, GGA-PBEsol.

Output
ΔH_f (0 K) (eV per formula unit): 3.4
SG: P4/mmm (123)
Theoretical density (Mg/m³): 12.359
E (eV per atom): -5.75

a = 2.860 Å, b = 2.860 Å, c = 8.426 Å
α = 90.00°, β = 90.00°, γ = 90.00°
Positions (direct):
Tl: 0.000 0.000 0.000
Cd: 0.000 0.000 0.500
Tc: 0.500 0.500 0.253
Tc: 0.500 0.500 0.747

No. 7
TlCdTc2: relaxed, GGA-PBEsol.

Output
ΔH_f (0 K) (eV per formula unit): 3.0
SG: Pmmm (47)
Theoretical density (Mg/m³): 12.476
E (eV per atom): -5.83

a = 3.130 Å, b = 4.665 Å, c = 4.674 Å
α = 90.00°, β = 90.00°, γ = 90.00°
Positions (direct):
Tl: 0.000 0.000 0.000
Cd: 0.500 0.500 0.000
Tc: 0.000 0.500 0.500
Tc: 0.500 0.000 0.500

No. 8
TlCd2Tc: relaxed, GGA-PBEsol.

Output
ΔH_f (0 K) (eV per formula unit): 3.0
SG: Fm-3m (225)
Theoretical density (Mg/m³): 11.157
E (eV per atom): -3.33

a = 4.805 Å, b = 4.805 Å, c = 4.805 Å
α = 60.00°, β = 60.00°, γ = 60.00°
Positions (direct):
Tl: 0.000 0.000 0.000
Cd: 0.250 0.250 0.250
Cd: 0.750 0.750 0.750
Tc: 0.500 0.500 0.500

No. 9
TlCd2Tc: relaxed, GGA-PBEsol.

Output
ΔH_f (0 K) (eV per formula unit): 2.0
SG: Pmmm (47)
Theoretical density (Mg/m³): 11.329
E (eV per atom): -3.57

a = 3.148 Å, b = 4.170 Å, c = 5.887 Å
α = 90.00°, β = 90.00°, γ = 90.00°
Positions (direct):
Tl: 0.000 0.000 0.000
Cd: 0.500 0.500 0.272
Cd: 0.500 0.500 0.728
Tc: 0.000 0.000 0.500

No. 10
Tl2CdTcW: relaxed, GGA-PBEsol.

Output
ΔH_f (0 K) (eV per formula unit): 9.6
SG: P4/mmm (123)
Theoretical density (Mg/m³): 9.495
E (eV per atom): -4.38

a = 5.204 Å, b = 5.204 Å, c = 5.185 Å
α = 90.00°, β = 90.00°, γ = 90.00°
Positions (direct):
Tl: 0.000 0.500 0.000
Tl: 0.500 0.000 0.000
Cd: 0.000 0.000 0.500
Tc: 0.500 0.500 0.500
W: 0.000 0.000 0.000

No. 11
CdTcW2: relaxed, GGA-PBEsol.

Output
ΔH_f (0 K) (eV per formula unit): 1.6
SG: R3m (160)
Theoretical density (Mg/m³): 14.833
E (eV per atom): -9.62

a = 9.509 Å, b = 9.509 Å, c = 9.509 Å
α = 17.08°, β = 17.08°, γ = 17.08°
Positions (direct):
Cd: 0.000 0.000 0.000
Tc: 0.754 0.754 0.754
W: 0.243 0.243 0.243
W: 0.494 0.494 0.494

No. 12
CdTcW2: relaxed, GGA-PBEsol.

Output
ΔH_f (0 K) (eV per formula unit): 2.2
SG: P2/m (10)
Theoretical density (Mg/m³): 15.107
E (eV per atom): -9.46

a = 4.991 Å, b = 2.727 Å, c = 5.033 Å
α = 90.00°, β = 111.93°, γ = 90.00°
Positions (direct):
Cd: 0.000 0.000 0.000
Tc: 0.500 0.500 0.000
W: 0.000 0.500 0.500
W: 0.500 0.000 0.500

No. 13
CdTcW2: relaxed, GGA-PBEsol.

Output
ΔH_f (0 K) (eV per formula unit): 1.8
SG: Pm (6)
Theoretical density (Mg/m³): 15.038
E (eV per atom): -9.56

a = 2.704 Å, b = 4.395 Å, c = 5.507 Å
α = 90.00°, β = 102.74°, γ = 90.00°
Positions (direct):
Cd: 0.000 0.000 0.000
Tc: 0.751 0.500 0.260
W: 0.308 0.500 0.740
W: 0.548 0.000 0.492

No. 14
CdTcW2: relaxed, GGA-PBEsol.

Output
ΔH_f (0 K) (eV per formula unit): 2.1
SG: P4/mmm (123)
Theoretical density (Mg/m³): 15.262
E (eV per atom): -9.50

a = 3.917 Å, b = 3.917 Å, c = 4.099 Å
α = 90.00°, β = 90.00°, γ = 90.00°
Positions (direct):
Cd: 0.000 0.000 0.000
Tc: 0.500 0.500 0.000
W: 0.000 0.500 0.500
W: 0.500 0.000 0.500

No. 15
YCdTc2: relaxed, GGA-PBEsol.

Output
ΔH_f (0 K) (eV per formula unit): 1.7
SG: P2/m (10)
Theoretical density (Mg/m³): 8.788
E (eV per atom): -7.22

a = 3.025 Å, b = 4.760 Å, c = 5.236 Å
α = 90.00°, β = 95.13°, γ = 90.00°
Positions (direct):
Y: 0.000 0.000 0.000
Cd: 0.500 0.000 0.500
Tc: 0.338 0.500 0.792
Tc: 0.662 0.500 0.208

No. 16
YCd2Tc: relaxed, GGA-PBEsol.

Output
ΔH_f (0 K) (eV per formula unit): 0.7
SG: Cm (8)
Theoretical density (Mg/m³): 8.611
E (eV per atom): -4.95

a = 5.236 Å, b = 5.236 Å, c = 4.992 Å
α = 110.38°, β = 110.38°, γ = 38.61°
Positions (direct):
Y: 0.000 0.000 0.000
Cd: 0.532 0.532 0.523
Cd: 0.779 0.779 0.351
Tc: 0.258 0.258 0.859

No. 17
ZnCd3Tc: relaxed, GGA-PBEsol.

Output
ΔH_f (0 K) (eV per formula unit): 5.6
SG: Pm-3m (221)
Theoretical density (Mg/m³): 7.566
E (eV per atom): -2.16

a = 4.790 Å, b = 4.790 Å, c = 4.790 Å
α = 90.00°, β = 90.00°, γ = 90.00°
Positions (direct):
Zn: 0.000 0.000 0.000
Cd: 0.000 0.000 0.500
Cd: 0.000 0.500 0.000
Cd: 0.500 0.000 0.000
Tc: 0.500 0.500 0.500

No. 18
ZnCdTc2: relaxed, GGA-PBEsol.

Output
ΔH_f (0 K) (eV per formula unit): 1.5
SG: R-3m (166)
Theoretical density (Mg/m³): 10.324
E (eV per atom): -5.95

a = 9.306 Å, b = 9.306 Å, c = 9.306 Å
α = 17.00°, β = 17.00°, γ = 17.00°
Positions (direct):
Zn: 0.000 0.000 0.000
Cd: 0.500 0.500 0.500
Tc: 0.255 0.255 0.255
Tc: 0.745 0.745 0.745

No. 19
ZnCdTc2: relaxed, GGA-PBEsol.

Output
ΔH_f (0 K) (eV per formula unit): 1.1
SG: Cm (8)
Theoretical density (Mg/m³): 10.279
E (eV per atom): -6.05

a = 4.611 Å, b = 4.611 Å, c = 5.013 Å
α = 96.88°, β = 96.88°, γ = 34.82°
Positions (direct):
Zn: 0.000 0.000 0.000
Cd: 0.247 0.247 0.774
Tc: 0.494 0.494 0.462
Tc: 0.745 0.745 0.278

No. 20
ZnCdTc2: relaxed, GGA-PBEsol.

Output
ΔH_f (0 K) (eV per formula unit): 0.3
SG: R3m (160)
Theoretical density (Mg/m³): 10.124
E (eV per atom): -6.24

a = 9.318 Å, b = 9.318 Å, c = 9.318 Å
α = 17.14°, β = 17.14°, γ = 17.14°
Positions (direct):
Zn: 0.000 0.000 0.000
Cd: 0.242 0.242 0.242
Tc: 0.485 0.485 0.485
Tc: 0.746 0.746 0.746

No. 21
ZnCd2Tc: relaxed, GGA-PBEsol.

Output
ΔH_f (0 K) (eV per formula unit): 1.1
SG: Cmmm (65)
Theoretical density (Mg/m³): 9.731
E (eV per atom): -3.54

a = 5.067 Å, b = 5.067 Å, c = 2.811 Å
α = 90.00°, β = 90.00°, γ = 113.35°
Positions (direct):
Zn: 0.000 0.000 0.000
Cd: 0.000 0.500 0.500
Cd: 0.500 0.000 0.500
Tc: 0.500 0.500 0.000

No. 22
ZnCdTc2: relaxed, GGA-PBEsol.

Output
ΔH_f (0 K) (eV per formula unit): 1.5
SG: P2/m (10)
Theoretical density (Mg/m³): 10.297
E (eV per atom): -5.95

a = 2.649 Å, b = 4.474 Å, c = 5.223 Å
α = 90.00°, β = 103.10°, γ = 90.00°
Positions (direct):
Zn: 0.000 0.000 0.000
Cd: 0.500 0.000 0.500
Tc: 0.246 0.500 0.765
Tc: 0.754 0.500 0.235

No. 23
ZnCdTc2: relaxed, GGA-PBEsol.

Output
ΔH_f (0 K) (eV per formula unit): 0.2
SG: P4mm (99)
Theoretical density (Mg/m³): 10.106
E (eV per atom): -6.28

a = 2.934 Å, b = 2.934 Å, c = 7.135 Å
α = 90.00°, β = 90.00°, γ = 90.00°
Positions (direct):
Zn: 0.000 0.000 0.000
Cd: 0.500 0.500 0.273
Tc: 0.000 0.000 0.561
Tc: 0.500 0.500 0.762

No. 24
ZnCdTc2: relaxed, GGA-PBEsol.

Output
ΔH_f (0 K) (eV per formula unit): 2.5
SG: Fm-3m (225)
Theoretical density (Mg/m³): 10.437
E (eV per atom): -5.71

a = 4.381 Å, b = 4.381 Å, c = 4.381 Å
α = 60.00°, β = 60.00°, γ = 60.00°
Positions (direct):
Zn: 0.000 0.000 0.000
Cd: 0.500 0.500 0.500
Tc: 0.250 0.250 0.250
Tc: 0.750 0.750 0.750

No. 25
Zr2Cd2Tc: relaxed, GGA-PBEsol.

Output
ΔH_f (0 K) (eV per formula unit): 3.8
SG: I4/mmm (139)
Theoretical density (Mg/m³): 8.215
E (eV per atom): -5.61

a = 7.432 Å, b = 7.432 Å, c = 7.432 Å
α = 150.04°, β = 150.04°, γ = 42.89°
Positions (direct):
Zr: 0.250 0.750 0.500
Zr: 0.750 0.250 0.500
Cd: 0.091 0.091 0.000
Cd: 0.909 0.909 0.000
Tc: 0.500 0.500 0.000

No. 26
ZrCdTc3: relaxed, GGA-PBEsol.

Output
ΔH_f (0 K) (eV per formula unit): 11.1
SG: Pm-3m (221)
Theoretical density (Mg/m³): 7.936
E (eV per atom): -6.60

a = 4.705 Å, b = 4.705 Å, c = 4.705 Å
α = 90.00°, β = 90.00°, γ = 90.00°
Positions (direct):
Zr: 0.000 0.000 0.000
Cd: 0.500 0.500 0.500
Tc: 0.000 0.500 0.500
Tc: 0.500 0.000 0.500
Tc: 0.500 0.500 0.000

No. 27
Cd2Te: relaxed, GGA-PBEsol.

Output
SG: P6_3/mmc (194)
Raw formation energy (eV per atom): -0.074
Theoretical density (Mg/m³): 7.354
E (eV per atom): -2.05

a = 4.189 Å, b = 4.189 Å, c = 10.470 Å
α = 90.00°, β = 90.00°, γ = 120.00°
Positions (direct):
Cd: 0.333 0.667 0.083
Cd: 0.333 0.667 0.417
Cd: 0.667 0.333 0.583
Cd: 0.667 0.333 0.917
Te: 0.000 0.000 0.250
Te: 0.000 0.000 0.750

No. 28
Cd2Te: relaxed, GGA-PBEsol.

Output
SG: P-3m1 (164)
Raw formation energy (eV per atom): -0.090
Theoretical density (Mg/m³): 7.436
E (eV per atom): -2.06

a = 4.185 Å, b = 4.185 Å, c = 5.189 Å
α = 90.00°, β = 90.00°, γ = 120.00°
Positions (direct):
Cd: 0.333 0.667 0.332
Cd: 0.667 0.333 0.668
Te: 0.000 0.000 0.000

No. 29
Cd2Te: relaxed, GGA-PBEsol.

Output
SG: P4/mmm (123)
Raw formation energy (eV per atom): 0.213
Theoretical density (Mg/m³): 5.831
E (eV per atom): -1.76

a = 4.133 Å, b = 4.133 Å, c = 5.874 Å
α = 90.00°, β = 90.00°, γ = 90.00°
Positions (direct):
Cd: 0.000 0.000 0.000
Cd: 0.500 0.500 0.500
Te: 0.000 0.000 0.500

No. 30
Cd3Te: relaxed, GGA-PBEsol.

Output
SG: R-3m (166)
Raw formation energy (eV per atom): 0.158
Theoretical density (Mg/m³): 7.718
E (eV per atom): -1.62

a = 6.389 Å, b = 6.389 Å, c = 6.389 Å
α = 117.76°, β = 117.76°, γ = 117.76°
Positions (direct):
Cd: 0.000 0.500 0.500
Cd: 0.500 0.000 0.500
Cd: 0.500 0.500 0.000
Te: 0.000 0.000 0.000